# 1
# CaBeRu2, optimized geometry, DFT PBE
# ΔH_f (0 K): 567 meV per atom
# M_tot: 3.14 μB/cell
data_CaBeRu2
_chemical_formula_sum 'Ca2 Be2 Ru4'
_cell_length_a 3.9026
_cell_length_b 3.9026
_cell_length_c 8.2489
_cell_angle_alpha 90.00
_cell_angle_beta 90.00
_cell_angle_gamma 90.00
_space_group_name_H-M_alt 'I 4/m m m'
_space_group_IT_number 139
_space_group_name_Hall '-I 4 2'
loop_
_atom_site_label
_atom_site_type_symbol
_atom_site_fract_x
_atom_site_fract_y
_atom_site_fract_z
Ca1 Ca 0.0000 0.0000 0.0000
Be1 Be 0.0000 0.0000 0.5000
Ru1 Ru 0.0000 0.5000 0.2500


# 2
# CaBeRu2, optimized geometry, DFT PBE
# ΔH_f (0 K): 391 meV per atom
# M_tot: 0.00 μB/cell
data_CaBeRu2
_chemical_formula_sum 'Ca2 Be2 Ru4'
_cell_length_a 4.4247
_cell_length_b 4.4247
_cell_length_c 6.2503
_cell_angle_alpha 90.00
_cell_angle_beta 90.00
_cell_angle_gamma 90.00
_space_group_name_H-M_alt 'I -4 m 2'
_space_group_IT_number 119
_space_group_name_Hall 'I -4 -2'
loop_
_atom_site_label
_atom_site_type_symbol
_atom_site_fract_x
_atom_site_fract_y
_atom_site_fract_z
Ca1 Ca 0.0000 0.0000 0.0000
Be1 Be 0.0000 0.5000 0.2500
Ru1 Ru 0.0000 0.0000 0.5000
Ru2 Ru 0.0000 0.5000 0.7500


# 3
# CaBeRu, optimized geometry, DFT PBE
# energy above the most stable polymorph in this dataset: 0.625 eV/atom
# ΔH_f (0 K): 530 meV per atom
# M_tot: 0.00 μB/cell
data_CaBeRu
_chemical_formula_sum 'Ca4 Be4 Ru4'
_cell_length_a 5.9821
_cell_length_b 5.9821
_cell_length_c 5.9821
_cell_angle_alpha 90.00
_cell_angle_beta 90.00
_cell_angle_gamma 90.00
_space_group_name_H-M_alt 'F -4 3 m'
_space_group_IT_number 216
_space_group_name_Hall 'F -4 2 3'
loop_
_atom_site_label
_atom_site_type_symbol
_atom_site_fract_x
_atom_site_fract_y
_atom_site_fract_z
Ca1 Ca 0.0000 0.0000 0.0000
Be1 Be 0.2500 0.2500 0.2500
Ru1 Ru 0.0000 0.0000 0.5000


# 4
# CaBeRu2, optimized geometry, DFT PBE
# ΔH_f (0 K): 204 meV per atom
# M_tot: 0.00 μB/cell
data_CaBeRu2
_chemical_formula_sum 'Ca1 Be1 Ru2'
_cell_length_a 2.9619
_cell_length_b 4.1166
_cell_length_c 5.6693
_cell_angle_alpha 90.00
_cell_angle_beta 104.82
_cell_angle_gamma 90.00
_space_group_name_H-M_alt 'P 1 m 1'
_space_group_IT_number 6
loop_
_space_group_symop_operation_xyz
'x,y,z'
'x,-y,z'
loop_
_atom_site_label
_atom_site_type_symbol
_atom_site_fract_x
_atom_site_fract_y
_atom_site_fract_z
Ca1 Ca 0.0000 0.0000 0.0000
Be1 Be 0.3579 0.5000 0.7112
Ru1 Ru 0.2713 0.0000 0.5267
Ru2 Ru 0.6997 0.5000 0.3867


# 5
# CaBeRu2S, optimized geometry, DFT PBE
# uncorrected formation energy: 440.2 meV per atom
# M_tot: 2.30 μB/cell
data_CaBeRu2S
_chemical_formula_sum 'Ca1 Be1 Ru2 S1'
_cell_length_a 4.1328
_cell_length_b 4.1328
_cell_length_c 5.2317
_cell_angle_alpha 90.00
_cell_angle_beta 90.00
_cell_angle_gamma 90.00
_space_group_name_H-M_alt 'P 4/m m m'
_space_group_IT_number 123
_space_group_name_Hall '-P 4 2'
loop_
_atom_site_label
_atom_site_type_symbol
_atom_site_fract_x
_atom_site_fract_y
_atom_site_fract_z
Ca1 Ca 0.0000 0.0000 0.0000
Be1 Be 0.0000 0.0000 0.5000
Ru1 Ru 0.0000 0.5000 0.5000
S1 S 0.5000 0.5000 0.0000


# 6
# CaBe2VRu, optimized geometry, DFT PBE
# energy above the most stable polymorph in this dataset: 0.951 eV/atom
# ΔH_f (0 K): 1645 meV per atom
# M_tot: 2.84 μB/cell
data_CaBe2VRu
_chemical_formula_sum 'Ca1 Be2 V1 Ru1'
_cell_length_a 4.2837
_cell_length_b 4.2837
_cell_length_c 4.7313
_cell_angle_alpha 90.00
_cell_angle_beta 90.00
_cell_angle_gamma 90.00
_space_group_name_H-M_alt 'P 4/m m m'
_space_group_IT_number 123
_space_group_name_Hall '-P 4 2'
loop_
_atom_site_label
_atom_site_type_symbol
_atom_site_fract_x
_atom_site_fract_y
_atom_site_fract_z
Ca1 Ca 0.0000 0.0000 0.0000
Be1 Be 0.0000 0.5000 0.5000
V1 V 0.0000 0.0000 0.5000
Ru1 Ru 0.5000 0.5000 0.0000


# 7
# CaBe2VRu, optimized geometry, DFT PBE
# energy above the most stable polymorph in this dataset: 0.000 eV/atom
# ΔH_f (0 K): 694 meV per atom
# M_tot: 0.00 μB/cell
data_CaBe2VRu
_chemical_formula_sum 'Ca1 Be2 V1 Ru1'
_cell_length_a 4.5455
_cell_length_b 4.5455
_cell_length_c 4.3381
_cell_angle_alpha 90.00
_cell_angle_beta 90.00
_cell_angle_gamma 90.00
_space_group_name_H-M_alt 'P 4/m m m'
_space_group_IT_number 123
_space_group_name_Hall '-P 4 2'
loop_
_atom_site_label
_atom_site_type_symbol
_atom_site_fract_x
_atom_site_fract_y
_atom_site_fract_z
Ca1 Ca 0.0000 0.0000 0.0000
Be1 Be 0.0000 0.5000 0.5000
V1 V 0.5000 0.5000 0.5000
Ru1 Ru 0.5000 0.5000 0.0000


# 8
# CaBe3S, optimized geometry, DFT PBE
# energy above the most stable polymorph in this dataset: 1.495 eV/atom
# uncorrected formation energy: 2116.4 meV per atom
# M_tot: 0.00 μB/cell
data_CaBe3S
_chemical_formula_sum 'Ca1 Be3 S1'
_cell_length_a 5.2733
_cell_length_b 5.2733
_cell_length_c 5.2733
_cell_angle_alpha 90.00
_cell_angle_beta 90.00
_cell_angle_gamma 90.00
_space_group_name_H-M_alt 'P m -3 m'
_space_group_IT_number 221
_space_group_name_Hall '-P 4 2 3'
loop_
_atom_site_label
_atom_site_type_symbol
_atom_site_fract_x
_atom_site_fract_y
_atom_site_fract_z
Ca1 Ca 0.0000 0.0000 0.0000
Be1 Be 0.0000 0.0000 0.5000
S1 S 0.5000 0.5000 0.5000


no.,calculated density (g/cm3)
1,6.641
2,6.818
3,4.659
4,6.242
5,5.264
6,4.019
7,3.893
8,1.123